Record 1
The following is a PBE calculation of a geometry-optimized Zn2InCl structure, from Alexandria.

```
4
Lattice="-7.7244 4.1945 4.7089 -9.2604 1.6172 3.3264 -7.6973 1.2539 6.2139" Properties=species:S:1:pos:R:3 pbc="T T T"
Cl -13.1255 3.7574 7.5774
In -18.0606 5.1701 10.4265
Zn -24.3143 6.9603 14.0368
Zn -6.2050 1.7763 3.5822
```

## Properties
Density, g cm⁻³: 5.0
Fermi-level density of states, states/eV/atom: 0.398
Uncorrected formation energy, eV per atom: -0.20
Offset from the most stable computed form, meV per atom: 0.0



Record 2
The following is a PBE calculation of a geometry-optimized TbZr2Sc8 structure, from Alexandria.

```
11
Lattice="5.7960 0.0256 -0.2514 -0.1361 5.4945 -2.5777 -0.0784 0.6283 8.4917" Properties=species:S:1:pos:R:3 pbc="T T T"
Tb 0.0000 0.0000 0.0000
Zr 1.7358 4.4250 2.1921
Zr 3.8456 1.7234 3.4705
Sc 2.8962 4.7853 -0.6509
Sc 2.6177 4.0916 5.0335
Sc 4.6177 4.7237 2.6767
Sc 0.9637 1.4247 2.9860
Sc 2.9638 2.0568 0.6291
Sc 2.6853 1.3631 6.3136
Sc 0.0007 3.4403 0.1848
Sc 5.5807 2.7081 5.4779
```

## Properties
Energy relative to the elements, eV per atom: 0.14
Density, g cm⁻³: 4.2
Fermi-level density of states, states/eV/atom: 1.361
Offset from the most stable computed form, meV per atom: 0.0



Question: What is the density in the second record?
Answer: 4.2 g cm⁻³